## a
A plane-wave DFT calculation with PBE-GGA was carried out for an optimized crystal structure of Cu2Ag3.

a b c (Å): 9.437 9.437 5.919
angles (deg): 99.16 99.16 17.47
Fractional positions:
Cu 0.000 0.000 0.000
Cu 0.187 0.187 0.553
Cu 0.394 0.394 0.150
Cu 0.592 0.592 0.279
Ag 0.188 0.188 0.089
Ag 0.403 0.403 0.704
Ag 0.590 0.590 0.764
Ag 0.787 0.787 0.861
Ag 0.800 0.800 0.376
Ag 0.990 0.990 0.441



## b
A plane-wave DFT calculation with PBE-GGA was carried out for an optimized crystal structure of Cu2Ag3.

a b c (Å): 4.807 4.807 12.165
angles (deg): 100.11 100.11 34.51
Fractional positions:
Cu 0.103 0.103 0.212
Cu 0.299 0.299 0.598
Cu 0.701 0.701 0.402
Cu 0.897 0.897 0.788
Ag 0.000 0.000 0.500
Ag 0.205 0.205 0.894
Ag 0.400 0.400 0.303
Ag 0.500 0.500 0.000
Ag 0.600 0.600 0.697
Ag 0.795 0.795 0.106



## c
A plane-wave DFT calculation with PBE-GGA was carried out for an optimized crystal structure of Cu2Ag3.

a b c (Å): 5.891 5.891 9.550
angles (deg): 97.76 97.76 28.30
Fractional positions:
Cu 0.000 0.000 0.000
Cu 0.307 0.307 0.918
Cu 0.513 0.513 0.532
Cu 0.614 0.614 0.836
Ag 0.106 0.106 0.335
Ag 0.203 0.203 0.636
Ag 0.409 0.409 0.198
Ag 0.695 0.695 0.110
Ag 0.822 0.822 0.425
Ag 0.920 0.920 0.728



Which of them is the least stable? Correct choice: b.



## a
A plane-wave DFT calculation with PBE-GGA was carried out for an optimized crystal structure of CuAg6.

a b c (Å): 2.918 2.918 28.145
angles (deg): 90.00 90.00 90.00
Fractional positions:
Cu 0.000 0.000 0.000
Cu 0.500 0.500 0.500
Ag 0.000 0.000 0.139
Ag 0.000 0.000 0.287
Ag 0.000 0.000 0.437
Ag 0.000 0.000 0.563
Ag 0.000 0.000 0.713
Ag 0.000 0.000 0.861
Ag 0.500 0.500 0.063
Ag 0.500 0.500 0.213
Ag 0.500 0.500 0.361
Ag 0.500 0.500 0.639
Ag 0.500 0.500 0.787
Ag 0.500 0.500 0.937



## b
A plane-wave DFT calculation with PBE-GGA was carried out for an optimized crystal structure of CuAg6.

a b c (Å): 16.646 16.646 16.646
angles (deg): 9.97 9.97 9.97
Fractional positions:
Cu 0.000 0.000 0.000
Ag 0.142 0.142 0.142
Ag 0.290 0.290 0.290
Ag 0.426 0.426 0.426
Ag 0.574 0.574 0.574
Ag 0.710 0.710 0.710
Ag 0.858 0.858 0.858



Which of them is the least stable? Correct choice: b.



## a
A plane-wave DFT calculation with PBE-GGA was carried out for an optimized crystal structure of CsLiZrTe3.

a b c (Å): 8.688 8.688 11.247
angles (deg): 90.00 90.00 151.57
Fractional positions:
Cs 0.245 0.755 0.750
Cs 0.755 0.245 0.250
Li 0.039 0.961 0.250
Li 0.961 0.039 0.750
Zr 0.500 0.500 0.000
Zr 0.500 0.500 0.500
Te 0.118 0.882 0.043
Te 0.118 0.882 0.457
Te 0.443 0.557 0.250
Te 0.557 0.443 0.750
Te 0.882 0.118 0.543
Te 0.882 0.118 0.957



## b
A plane-wave DFT calculation with PBE-GGA was carried out for an optimized crystal structure of CsLiZrTe3.

a b c (Å): 9.876 4.294 10.888
angles (deg): 90.00 112.69 90.00
Fractional positions:
Cs 0.233 0.250 0.269
Cs 0.767 0.750 0.731
Li 0.077 0.250 0.604
Li 0.923 0.750 0.396
Zr 0.316 0.750 0.843
Zr 0.684 0.250 0.157
Te 0.126 0.250 0.870
Te 0.226 0.750 0.561
Te 0.470 0.750 0.140
Te 0.530 0.250 0.860
Te 0.774 0.250 0.439
Te 0.874 0.750 0.130



Which of them is the least stable? Correct choice: a.